{
  "formula": "Ho3PO6",
  "functional": "PBE-GGA",
  "state": "relaxed",
  "spacegroup": "Cmc2_1, No. 36",
  "e_form_raw_ev_per_atom": -3.0908,
  "total_energy_ev_per_atom": -7.98,
  "crystal_system": "orthorhombic",
  "lattice": [[4.3587, -5.4865, 0.0000], [4.3587, 5.4865, 0.0000], [0.0000, 0.0000, 5.8797]],
  "species": ["Ho", "Ho", "Ho", "Ho", "Ho", "Ho", "P", "P", "O", "O", "O", "O", "O", "O", "O", "O", "O", "O", "O", "O"],
  "frac_coords": [[0.0928, 0.9072, 0.5000], [0.1946, 0.4138, 0.5310], [0.4138, 0.1946, 0.0310], [0.5862, 0.8054, 0.5310], [0.8054, 0.5862, 0.0310], [0.9072, 0.0928, 0.0000], [0.3285, 0.6715, 0.0869], [0.6715, 0.3285, 0.5869], [0.1055, 0.6013, 0.1901], [0.1542, 0.1742, 0.2642], [0.1742, 0.1542, 0.7642], [0.2760, 0.7240, 0.6073], [0.3987, 0.8945, 0.1901], [0.4522, 0.5478, 0.2532], [0.5478, 0.4522, 0.7532], [0.6013, 0.1055, 0.6901], [0.7240, 0.2760, 0.1073], [0.8258, 0.8458, 0.2642], [0.8458, 0.8258, 0.7642], [0.8945, 0.3987, 0.6901]]
}

{
  "formula": "Ho2P4O13",
  "functional": "PBE-GGA",
  "state": "relaxed",
  "spacegroup": "C222_1, No. 20",
  "e_form_raw_ev_per_atom": -2.6958,
  "total_energy_ev_per_atom": -7.71,
  "crystal_system": "orthorhombic",
  "lattice": [[3.5452, -8.7390, 0.0000], [3.5452, 8.7390, 0.0000], [0.0000, 0.0000, 8.6353]],
  "species": ["Ho", "Ho", "Ho", "Ho", "P", "P", "P", "P", "P", "P", "P", "P", "O", "O", "O", "O", "O", "O", "O", "O", "O", "O", "O", "O", "O", "O", "O", "O", "O", "O", "O", "O", "O", "O", "O", "O", "O", "O"],
  "frac_coords": [[0.1037, 0.3956, 0.1470], [0.3956, 0.1037, 0.8530], [0.6044, 0.8963, 0.3530], [0.8963, 0.6044, 0.6470], [0.0807, 0.4012, 0.5000], [0.2223, 0.3494, 0.7743], [0.3494, 0.2223, 0.2257], [0.4012, 0.0807, 0.5000], [0.5988, 0.9193, 0.0000], [0.6506, 0.7777, 0.7257], [0.7777, 0.6506, 0.2743], [0.9193, 0.5988, 0.0000], [0.0147, 0.4737, 0.6041], [0.0790, 0.7643, 0.8819], [0.0967, 0.3273, 0.8990], [0.1184, 0.2886, 0.6073], [0.2357, 0.9210, 0.6181], [0.2421, 0.2838, 0.2037], [0.2724, 0.5697, 0.4014], [0.2838, 0.2421, 0.7963], [0.2886, 0.1184, 0.3927], [0.3273, 0.0967, 0.1010], [0.4124, 0.5876, 0.7500], [0.4303, 0.7276, 0.0986], [0.4737, 0.0147, 0.3959], [0.5263, 0.9853, 0.8959], [0.5697, 0.2724, 0.5986], [0.5876, 0.4124, 0.2500], [0.6727, 0.9033, 0.6010], [0.7114, 0.8816, 0.8927], [0.7162, 0.7579, 0.2963], [0.7276, 0.4303, 0.9014], [0.7579, 0.7162, 0.7037], [0.7643, 0.0790, 0.1181], [0.8816, 0.7114, 0.1073], [0.9033, 0.6727, 0.3990], [0.9210, 0.2357, 0.3819], [0.9853, 0.5263, 0.1041]]
}

{
  "formula": "HoP2PbO8",
  "functional": "PBE-GGA",
  "state": "relaxed",
  "spacegroup": "P-3, No. 147",
  "e_form_raw_ev_per_atom": -2.2991,
  "total_energy_ev_per_atom": -7.20,
  "crystal_system": "trigonal",
  "lattice": [[5.4121, 0.0000, 0.0000], [-2.7060, 4.6870, 0.0000], [0.0000, 0.0000, 7.3682]],
  "species": ["Ho", "P", "P", "Pb", "O", "O", "O", "O", "O", "O", "O", "O"],
  "frac_coords": [[0.0000, 0.0000, 0.0000], [0.3333, 0.6667, 0.2706], [0.6667, 0.3333, 0.7294], [0.0000, 0.0000, 0.5000], [0.1753, 0.8200, 0.2005], [0.1800, 0.3553, 0.2005], [0.3333, 0.6667, 0.4807], [0.3553, 0.1753, 0.7995], [0.6447, 0.8247, 0.2005], [0.6667, 0.3333, 0.5193], [0.8200, 0.6447, 0.7995], [0.8247, 0.1800, 0.7995]]
}

{
  "formula": "Ho3PPbO",
  "functional": "PBE-GGA",
  "state": "relaxed",
  "spacegroup": "P2_1/m, No. 11",
  "e_form_raw_ev_per_atom": -1.6822,
  "total_energy_ev_per_atom": -6.32,
  "crystal_system": "monoclinic",
  "lattice": [[8.8134, 0.0000, 0.0000], [0.0000, 3.9589, 0.0000], [-2.1576, 0.0000, 8.6363]],
  "species": ["Ho", "Ho", "Ho", "Ho", "Ho", "Ho", "P", "P", "Pb", "Pb", "O", "O"],
  "frac_coords": [[0.0647, 0.2500, 0.3424], [0.3365, 0.2500, 0.9790], [0.3789, 0.7500, 0.6490], [0.6211, 0.2500, 0.3510], [0.6635, 0.7500, 0.0210], [0.9353, 0.7500, 0.6576], [0.1561, 0.2500, 0.6619], [0.8439, 0.7500, 0.3381], [0.3156, 0.7500, 0.2728], [0.6844, 0.2500, 0.7272], [0.4121, 0.7500, 0.9046], [0.5879, 0.2500, 0.0954]]
}

{
  "formula": "HoP2PdO8",
  "functional": "PBE-GGA",
  "state": "relaxed",
  "spacegroup": "P-3m1, No. 164",
  "e_form_raw_ev_per_atom": -2.0230,
  "total_energy_ev_per_atom": -7.04,
  "crystal_system": "trigonal",
  "lattice": [[5.1807, 0.0000, 0.0000], [-2.5904, 4.4866, 0.0000], [0.0000, 0.0000, 6.6916]],
  "species": ["Ho", "P", "P", "Pd", "O", "O", "O", "O", "O", "O", "O", "O"],
  "frac_coords": [[0.0000, 0.0000, 0.0000], [0.3333, 0.6667, 0.2115], [0.6667, 0.3333, 0.7885], [0.0000, 0.0000, 0.5000], [0.1670, 0.3341, 0.2764], [0.1670, 0.8330, 0.2764], [0.3333, 0.6667, 0.9830], [0.3341, 0.1670, 0.7236], [0.6659, 0.8330, 0.2764], [0.6667, 0.3333, 0.0170], [0.8330, 0.1670, 0.7236], [0.8330, 0.6659, 0.7236]]
}

{
  "formula": "PrHoP2O8",
  "functional": "PBE-GGA",
  "state": "relaxed",
  "spacegroup": "P-3m1, No. 164",
  "e_form_raw_ev_per_atom": -2.9106,
  "total_energy_ev_per_atom": -7.90,
  "crystal_system": "trigonal",
  "lattice": [[5.2729, 0.0000, 0.0000], [-2.6365, 4.5665, 0.0000], [0.0000, 0.0000, 7.1773]],
  "species": ["Pr", "Ho", "P", "P", "O", "O", "O", "O", "O", "O", "O", "O"],
  "frac_coords": [[0.0000, 0.0000, 0.0000], [0.0000, 0.0000, 0.5000], [0.3333, 0.6667, 0.7921], [0.6667, 0.3333, 0.2079], [0.1735, 0.3470, 0.7181], [0.1735, 0.8265, 0.7181], [0.3333, 0.6667, 0.0053], [0.3470, 0.1735, 0.2819], [0.6530, 0.8265, 0.7181], [0.6667, 0.3333, 0.9947], [0.8265, 0.1735, 0.2819], [0.8265, 0.6530, 0.2819]]
}

{
  "formula": "Pr2HoPO8",
  "functional": "PBE-GGA",
  "state": "relaxed",
  "spacegroup": "P-3m1, No. 164",
  "e_form_raw_ev_per_atom": -2.3520,
  "total_energy_ev_per_atom": -7.29,
  "crystal_system": "trigonal",
  "lattice": [[5.2927, 0.0000, 0.0000], [-2.6464, 4.5836, 0.0000], [0.0000, 0.0000, 6.1763]],
  "species": ["Pr", "Pr", "Ho", "P", "O", "O", "O", "O", "O", "O", "O", "O"],
  "frac_coords": [[0.3333, 0.6667, 0.3611], [0.6667, 0.3333, 0.6389], [0.0000, 0.0000, 0.0000], [0.0000, 0.0000, 0.5000], [0.1506, 0.3012, 0.6656], [0.1506, 0.8494, 0.6656], [0.3012, 0.1506, 0.3344], [0.3333, 0.6667, 0.0139], [0.6667, 0.3333, 0.9861], [0.6988, 0.8494, 0.6656], [0.8494, 0.1506, 0.3344], [0.8494, 0.6988, 0.3344]]
}

{
  "formula": "RbHoP2O7",
  "functional": "PBE-GGA",
  "state": "relaxed",
  "spacegroup": "P2_1/c, No. 14",
  "e_form_raw_ev_per_atom": -2.7080,
  "total_energy_ev_per_atom": -7.35,
  "crystal_system": "monoclinic",
  "lattice": [[7.8775, 0.0000, 0.0000], [0.0000, 11.0342, 0.0000], [-2.4252, 0.0000, 8.4601]],
  "species": ["Rb", "Rb", "Rb", "Rb", "Ho", "Ho", "Ho", "Ho", "P", "P", "P", "P", "P", "P", "P", "P", "O", "O", "O", "O", "O", "O", "O", "O", "O", "O", "O", "O", "O", "O", "O", "O", "O", "O", "O", "O", "O", "O", "O", "O", "O", "O", "O", "O"],
  "frac_coords": [[0.1869, 0.1777, 0.0660], [0.1869, 0.3223, 0.5660], [0.8131, 0.6777, 0.4340], [0.8131, 0.8223, 0.9340], [0.2356, 0.5992, 0.2518], [0.2356, 0.9008, 0.7518], [0.7644, 0.0992, 0.2482], [0.7644, 0.4008, 0.7482], [0.1280, 0.5997, 0.8167], [0.1280, 0.9003, 0.3167], [0.4320, 0.6342, 0.6873], [0.4320, 0.8658, 0.1873], [0.5680, 0.1342, 0.8127], [0.5680, 0.3658, 0.3127], [0.8720, 0.0997, 0.6833], [0.8720, 0.4003, 0.1833], [0.0027, 0.5032, 0.7207], [0.0027, 0.9968, 0.2207], [0.0768, 0.7271, 0.7484], [0.0768, 0.7729, 0.2484], [0.1451, 0.5927, 0.9923], [0.1451, 0.9073, 0.4923], [0.3223, 0.5662, 0.7962], [0.3223, 0.9338, 0.2962], [0.3293, 0.6100, 0.5159], [0.3293, 0.8900, 0.0159], [0.3866, 0.0734, 0.7659], [0.3866, 0.4266, 0.2659], [0.4470, 0.7316, 0.2338], [0.4470, 0.7684, 0.7338], [0.5530, 0.2316, 0.2662], [0.5530, 0.2684, 0.7662], [0.6134, 0.5734, 0.7341], [0.6134, 0.9266, 0.2341], [0.6707, 0.1100, 0.9841], [0.6707, 0.3900, 0.4841], [0.6777, 0.0662, 0.7038], [0.6777, 0.4338, 0.2038], [0.8549, 0.0927, 0.5077], [0.8549, 0.4073, 0.0077], [0.9232, 0.2271, 0.7516], [0.9232, 0.2729, 0.2516], [0.9973, 0.0032, 0.7793], [0.9973, 0.4968, 0.2793]]
}

{
  "formula": "RbHoP4O12",
  "functional": "PBE-GGA",
  "state": "relaxed",
  "spacegroup": "P2_1/c, No. 14",
  "e_form_raw_ev_per_atom": -2.4565,
  "total_energy_ev_per_atom": -7.27,
  "crystal_system": "monoclinic",
  "lattice": [[10.4272, 0.0000, 0.0000], [0.0000, 8.9485, 0.0000], [-7.2268, 0.0000, 10.6300]],
  "species": ["Rb", "Rb", "Rb", "Rb", "Ho", "Ho", "Ho", "Ho", "P", "P", "P", "P", "P", "P", "P", "P", "P", "P", "P", "P", "P", "P", "P", "P", "O", "O", "O", "O", "O", "O", "O", "O", "O", "O", "O", "O", "O", "O", "O", "O", "O", "O", "O", "O", "O", "O", "O", "O", "O", "O", "O", "O", "O", "O", "O", "O", "O", "O", "O", "O", "O", "O", "O", "O", "O", "O", "O", "O", "O", "O", "O", "O"],
  "frac_coords": [[0.2347, 0.0638, 0.0399], [0.2347, 0.4362, 0.5399], [0.7653, 0.5638, 0.4601], [0.7653, 0.9362, 0.9601], [0.3144, 0.7261, 0.8160], [0.3144, 0.7739, 0.3160], [0.6856, 0.2261, 0.6840], [0.6856, 0.2739, 0.1840], [0.0275, 0.0273, 0.2799], [0.0275, 0.4727, 0.7799], [0.2003, 0.6108, 0.0237], [0.2003, 0.8892, 0.5237], [0.3265, 0.1718, 0.3663], [0.3265, 0.3282, 0.8663], [0.3908, 0.0902, 0.7427], [0.3908, 0.4098, 0.2427], [0.6092, 0.5902, 0.7573], [0.6092, 0.9098, 0.2573], [0.6735, 0.6718, 0.1337], [0.6735, 0.8282, 0.6337], [0.7997, 0.1108, 0.4763], [0.7997, 0.3892, 0.9763], [0.9725, 0.5273, 0.2201], [0.9725, 0.9727, 0.7201], [0.0409, 0.5464, 0.9014], [0.0409, 0.9536, 0.4014], [0.0729, 0.5832, 0.7175], [0.0729, 0.9168, 0.2175], [0.1302, 0.5962, 0.2996], [0.1302, 0.9038, 0.7996], [0.1567, 0.1599, 0.3432], [0.1567, 0.3401, 0.8432], [0.1652, 0.7133, 0.0972], [0.1652, 0.7867, 0.5972], [0.2705, 0.0466, 0.5973], [0.2705, 0.4534, 0.0973], [0.2822, 0.2088, 0.7554], [0.2822, 0.2912, 0.2554], [0.2977, 0.6691, 0.9807], [0.2977, 0.8309, 0.4807], [0.3682, 0.0279, 0.3325], [0.3682, 0.4721, 0.8325], [0.4232, 0.5431, 0.3249], [0.4232, 0.9569, 0.8249], [0.4313, 0.2417, 0.4930], [0.4313, 0.2583, 0.9930], [0.4751, 0.6733, 0.7421], [0.4751, 0.8267, 0.2421], [0.5249, 0.1733, 0.7579], [0.5249, 0.3267, 0.2579], [0.5687, 0.7417, 0.0070], [0.5687, 0.7583, 0.5070], [0.5768, 0.0431, 0.1751], [0.5768, 0.4569, 0.6751], [0.6318, 0.5279, 0.1675], [0.6318, 0.9721, 0.6675], [0.7023, 0.1691, 0.5193], [0.7023, 0.3309, 0.0193], [0.7178, 0.7088, 0.7446], [0.7178, 0.7912, 0.2446], [0.7295, 0.5466, 0.9027], [0.7295, 0.9534, 0.4027], [0.8348, 0.2133, 0.4028], [0.8348, 0.2867, 0.9028], [0.8433, 0.6599, 0.1568], [0.8433, 0.8401, 0.6568], [0.8698, 0.0962, 0.2004], [0.8698, 0.4038, 0.7004], [0.9271, 0.0832, 0.7825], [0.9271, 0.4168, 0.2825], [0.9591, 0.0464, 0.5986], [0.9591, 0.4536, 0.0986]]
}

{
  "formula": "RbHoP2O6",
  "functional": "PBE-GGA",
  "state": "relaxed",
  "spacegroup": "C2/c, No. 15",
  "e_form_raw_ev_per_atom": -2.5691,
  "total_energy_ev_per_atom": -7.18,
  "crystal_system": "monoclinic",
  "lattice": [[3.8575, -5.5055, 0.0000], [3.8575, 5.5055, 0.0000], [-0.5969, 0.0000, 8.3328]],
  "species": ["Rb", "Rb", "Ho", "Ho", "P", "P", "P", "P", "O", "O", "O", "O", "O", "O", "O", "O", "O", "O", "O", "O"],
  "frac_coords": [[0.0823, 0.9177, 0.7500], [0.9177, 0.0823, 0.2500], [0.3308, 0.6692, 0.2500], [0.6692, 0.3308, 0.7500], [0.2504, 0.5079, 0.8175], [0.4921, 0.7496, 0.6825], [0.5079, 0.2504, 0.3175], [0.7496, 0.4921, 0.1825], [0.0260, 0.4373, 0.7329], [0.2527, 0.6061, 0.9867], [0.3245, 0.3402, 0.3112], [0.3402, 0.3245, 0.8112], [0.3939, 0.7473, 0.5133], [0.4373, 0.0260, 0.2329], [0.5627, 0.9740, 0.7671], [0.6061, 0.2527, 0.4867], [0.6598, 0.6755, 0.1888], [0.6755, 0.6598, 0.6888], [0.7473, 0.3939, 0.0133], [0.9740, 0.5627, 0.2671]]
}

{
  "formula": "HoPRuO",
  "functional": "PBE-GGA",
  "state": "relaxed",
  "spacegroup": "P4/nmm, No. 129",
  "e_form_raw_ev_per_atom": -2.0527,
  "total_energy_ev_per_atom": -8.11,
  "crystal_system": "tetragonal",
  "lattice": [[3.9829, 0.0000, 0.0000], [0.0000, 3.9829, 0.0000], [0.0000, 0.0000, 7.8793]],
  "species": ["Ho", "Ho", "P", "P", "Ru", "Ru", "O", "O"],
  "frac_coords": [[0.2500, 0.2500, 0.1336], [0.7500, 0.7500, 0.8664], [0.2500, 0.2500, 0.6527], [0.7500, 0.7500, 0.3473], [0.2500, 0.7500, 0.5000], [0.7500, 0.2500, 0.5000], [0.2500, 0.7500, 0.0000], [0.7500, 0.2500, 0.0000]]
}

{
  "formula": "SrHoP2O8",
  "functional": "PBE-GGA",
  "state": "relaxed",
  "spacegroup": "P-3, No. 147",
  "e_form_raw_ev_per_atom": -2.6760,
  "total_energy_ev_per_atom": -7.40,
  "crystal_system": "trigonal",
  "lattice": [[5.3847, 0.0000, 0.0000], [-2.6923, 4.6633, 0.0000], [0.0000, 0.0000, 7.3496]],
  "species": ["Sr", "Ho", "P", "P", "O", "O", "O", "O", "O", "O", "O", "O"],
  "frac_coords": [[0.0000, 0.0000, 0.0000], [0.0000, 0.0000, 0.5000], [0.3333, 0.6667, 0.7725], [0.6667, 0.3333, 0.2275], [0.1753, 0.3534, 0.7036], [0.1781, 0.8247, 0.7036], [0.3333, 0.6667, 0.9831], [0.3534, 0.1781, 0.2964], [0.6466, 0.8219, 0.7036], [0.6667, 0.3333, 0.0169], [0.8219, 0.1753, 0.2964], [0.8247, 0.6466, 0.2964]]
}